Entry from the Alexandria database: Cs2Na3Cd after structural relaxation (PBE).

abc: 7.400 7.400 7.633
angles: 89.66 120.10 119.25
Positions (direct):
Cs (0.746, 0.372, 0.118)
Cs (0.254, 0.628, 0.882)
Na (0.500, 0.500, 0.500)
Na (0.000, 0.000, 0.500)
Na (0.500, 0.000, 0.500)
Cd (0.000, 0.000, 0.000)

Properties
N(E_F) in states/eV/f.u.: 4.44
Energy relative to the elements in meV/atom: 10
Calculated total energy in eV/atom: -1.0869



Entry from the Alexandria database: Cs4Na2Cd after structural relaxation (PBE).

abc: 7.438 7.438 11.906
angles: 71.80 71.80 90.00
Positions (direct):
Cs (0.813, 0.813, 0.373)
Cs (0.187, 0.187, 0.627)
Cs (0.000, 0.500, 0.000)
Cs (0.500, 0.000, 0.000)
Na (0.613, 0.613, 0.774)
Na (0.387, 0.387, 0.226)
Cd (0.000, 0.000, 0.000)

Properties
N(E_F) in states/eV/f.u.: 6.90
Energy relative to the elements in meV/atom: 83
Calculated total energy in eV/atom: -0.9121



Entry from the Alexandria database: Cs3Na3Cd8 after structural relaxation (PBE).

abc: 5.366 10.380 10.380
angles: 66.82 75.02 75.02
Positions (direct):
Cs (0.500, 0.500, 0.500)
Cs (0.803, 0.197, 0.197)
Cs (0.197, 0.803, 0.803)
Na (0.500, 0.000, 0.000)
Na (0.000, 0.780, 0.220)
Na (0.000, 0.220, 0.780)
Cd (0.642, 0.085, 0.632)
Cd (0.358, 0.915, 0.368)
Cd (0.642, 0.632, 0.085)
Cd (0.358, 0.368, 0.915)
Cd (0.827, 0.815, 0.531)
Cd (0.173, 0.185, 0.469)
Cd (0.827, 0.531, 0.815)
Cd (0.173, 0.469, 0.185)

Properties
N(E_F) in states/eV/f.u.: 8.71
Energy relative to the elements in meV/atom: -36
Calculated total energy in eV/atom: -1.0246



Entry from the Alexandria database: Cs3Na3Cd after structural relaxation (PBE).

abc: 5.598 8.133 20.315
angles: 84.02 82.08 69.87
Positions (direct):
Cs (0.515, 0.361, 0.609)
Cs (0.485, 0.639, 0.391)
Cs (0.247, 0.259, 0.247)
Cs (0.753, 0.741, 0.753)
Cs (0.385, 0.313, 0.918)
Cs (0.615, 0.687, 0.082)
Na (0.807, 0.852, 0.534)
Na (0.193, 0.148, 0.466)
Na (0.096, 0.887, 0.920)
Na (0.904, 0.113, 0.080)
Na (0.951, 0.855, 0.243)
Na (0.049, 0.145, 0.757)
Cd (0.773, 0.072, 0.383)
Cd (0.227, 0.928, 0.617)

Properties
N(E_F) in states/eV/f.u.: 3.90
Energy relative to the elements in meV/atom: 1
Calculated total energy in eV/atom: -1.0610



Entry from the Alexandria database: CsNa10Cd3 after structural relaxation (PBE).

abc: 11.556 11.556 11.556
angles: 60.00 60.00 60.00
Positions (direct):
Cs (0.250, 0.250, 0.250)
Cs (0.750, 0.750, 0.750)
Na (0.000, 0.000, 0.335)
Na (0.000, 0.335, 0.000)
Na (0.335, 0.000, 0.000)
Na (0.665, 0.335, 0.000)
Na (0.392, 0.392, 0.392)
Na (0.176, 0.608, 0.608)
Na (0.392, 0.824, 0.392)
Na (0.665, 0.000, 0.335)
Na (0.392, 0.392, 0.824)
Na (0.824, 0.392, 0.392)
Na (0.608, 0.608, 0.176)
Na (0.000, 0.000, 0.665)
Na (0.335, 0.665, 0.000)
Na (0.000, 0.665, 0.335)
Na (0.000, 0.335, 0.665)
Na (0.665, 0.000, 0.000)
Na (0.608, 0.608, 0.608)
Na (0.000, 0.665, 0.000)
Na (0.608, 0.176, 0.608)
Na (0.335, 0.000, 0.665)
Cd (0.732, 0.732, 0.268)
Cd (0.732, 0.268, 0.732)
Cd (0.268, 0.732, 0.732)
Cd (0.268, 0.268, 0.732)
Cd (0.732, 0.268, 0.268)
Cd (0.268, 0.732, 0.268)

Properties
N(E_F) in states/eV/f.u.: 3.42
Energy relative to the elements in meV/atom: 7
Calculated total energy in eV/atom: -1.1924



Entry from the Alexandria database: Cs2Na9Cd4 after structural relaxation (PBE).

abc: 5.565 5.565 21.842
angles: 90.00 90.00 120.00
Positions (direct):
Cs (0.333, 0.667, 0.768)
Cs (0.667, 0.333, 0.232)
Na (0.000, 0.000, 0.354)
Na (0.000, 0.000, 0.646)
Na (0.000, 0.000, 0.911)
Na (0.000, 0.000, 0.089)
Na (0.333, 0.667, 0.559)
Na (0.667, 0.333, 0.441)
Na (0.667, 0.333, 0.039)
Na (0.333, 0.667, 0.961)
Na (0.000, 0.000, 0.500)
Cd (0.333, 0.667, 0.404)
Cd (0.667, 0.333, 0.596)
Cd (0.667, 0.333, 0.891)
Cd (0.333, 0.667, 0.109)

Properties
N(E_F) in states/eV/f.u.: 6.74
Energy relative to the elements in meV/atom: -20
Calculated total energy in eV/atom: -1.1695



Entry from the Alexandria database: Cs5Na12Cd2 after structural relaxation (PBE).

abc: 9.714 9.824 11.314
angles: 64.27 89.71 90.00
Positions (direct):
Cs (0.531, 0.762, 0.475)
Cs (0.007, 0.711, 0.578)
Cs (0.500, 0.000, 0.000)
Cs (0.993, 0.289, 0.422)
Cs (0.469, 0.238, 0.525)
Na (0.099, 0.070, 0.860)
Na (0.803, 0.295, 0.789)
Na (0.803, 0.916, 0.789)
Na (0.288, 0.401, 0.824)
Na (0.288, 0.775, 0.824)
Na (0.653, 0.557, 0.886)
Na (0.347, 0.443, 0.114)
Na (0.712, 0.599, 0.176)
Na (0.712, 0.225, 0.176)
Na (0.197, 0.705, 0.211)
Na (0.197, 0.084, 0.211)
Na (0.901, 0.930, 0.140)
Cd (0.000, 0.654, 0.000)
Cd (0.000, 0.346, 0.000)

Properties
N(E_F) in states/eV/f.u.: 11.39
Energy relative to the elements in meV/atom: 31
Calculated total energy in eV/atom: -1.1227



Entry from the Alexandria database: Cs3NaCd6 after structural relaxation (PBE).

abc: 8.268 7.700 9.636
angles: 65.32 64.60 57.53
Positions (direct):
Cs (0.580, 0.657, 0.183)
Cs (0.420, 0.343, 0.817)
Cs (0.000, 0.000, 0.000)
Na (0.000, 0.500, 0.500)
Cd (0.920, 0.811, 0.707)
Cd (0.438, 0.189, 0.293)
Cd (0.080, 0.189, 0.293)
Cd (0.562, 0.811, 0.707)
Cd (0.760, 0.060, 0.419)
Cd (0.240, 0.940, 0.581)

Properties
N(E_F) in states/eV/f.u.: 4.65
Energy relative to the elements in meV/atom: -27
Calculated total energy in eV/atom: -0.9639